Computed, not measured: an optimized crystal structure of NaInAsAu at the PBE level of DFT.

The total moment comes out at 0.000 μB/f.u. As for the mass density: 8.04 g/cm³. The value obtained for the formation energy is -0.140 eV per atom. The density of states at the Fermi level comes out at 0.189 states/eV/atom.

abc: 6.9702 6.9702 6.9702
angles: 90.00 90.00 90.00
With the nearest neighbours (Å) after each atom.
Space group F-43m (No. 216)
Inequivalent atoms, fractional coordinates:
Na (0.0000, 0.0000, 0.0000)  4 As 3.02, 4 Au 3.02
In (0.0000, 0.0000, 0.5000)  4 Au 3.02, 4 As 3.02
As (0.2500, 0.2500, 0.2500)  4 In 3.02, 4 Na 3.02
Au (0.2500, 0.2500, 0.7500)  4 In 3.02, 4 Na 3.02